(1)
# Cr3Sb (PBE, optimized geometry)
# E_tot	-7.7052	eV per atom
# spin magnetization	9.6	μB/cell
# formation energy without anion corrections	0.543	eV per atom
data_Cr3Sb
_chemical_formula_sum 'Cr9 Sb3'
_cell_length_a 3.0282
_cell_length_b 3.0282
_cell_length_c 24.1999
_cell_angle_alpha 90.00
_cell_angle_beta 90.00
_cell_angle_gamma 120.00
_symmetry_space_group_name_H-M 'R -3 m'
_symmetry_Int_Tables_number 166
_symmetry_space_group_name_Hall '-R 3 2"'
loop_
_atom_site_label
_atom_site_type_symbol
_atom_site_fract_x
_atom_site_fract_y
_atom_site_fract_z
Cr1 Cr 0.0000 0.0000 0.0000
Cr2 Cr 0.0000 0.0000 0.2601
Sb1 Sb 0.0000 0.0000 0.5000

***

(2)
# Cr3Sb5 (PBE, optimized geometry)
# E_tot	-5.8434	eV per atom
# spin magnetization	19.2	μB/cell
# formation energy without anion corrections	0.342	eV per atom
# excess energy over the best structure of this formula in the dataset	32	meV per atom
data_Cr3Sb5
_chemical_formula_sum 'Cr6 Sb10'
_cell_length_a 8.3580
_cell_length_b 8.3580
_cell_length_c 5.8466
_cell_angle_alpha 90.00
_cell_angle_beta 90.00
_cell_angle_gamma 120.00
_symmetry_space_group_name_H-M 'P 63/m c m'
_symmetry_Int_Tables_number 193
_symmetry_space_group_name_Hall '-P 6c 2'
loop_
_atom_site_label
_atom_site_type_symbol
_atom_site_fract_x
_atom_site_fract_y
_atom_site_fract_z
Cr1 Cr 0.0000 0.3944 0.2500
Sb1 Sb 0.0000 0.2585 0.7500
Sb2 Sb 0.3333 0.6667 0.0000

***

(3)
# CrSb2 (PBE, optimized geometry)
# E_tot	-5.8243	eV per atom
# spin magnetization	8.2	μB/cell
# formation energy without anion corrections	0.132	eV per atom
data_CrSb2
_chemical_formula_sum 'Cr4 Sb8'
_cell_length_a 6.531
_cell_length_b 6.531
_cell_length_c 5.764
_cell_angle_alpha 90.00
_cell_angle_beta 90.00
_cell_angle_gamma 90.00
_symmetry_space_group_name_H-M 'I 4/m c m'
_symmetry_Int_Tables_number 140
_symmetry_space_group_name_Hall '-I 4 2c'
loop_
_atom_site_label
_atom_site_type_symbol
_atom_site_fract_x
_atom_site_fract_y
_atom_site_fract_z
Cr1 Cr 0.000 0.000 0.250
Sb1 Sb 0.159 0.341 0.000

***

(4)
# Cr2Sb (PBE, optimized geometry)
# E_tot	-7.4668	eV per atom
# spin magnetization	8.2	μB/cell
# formation energy without anion corrections	0.323	eV per atom
data_Cr2Sb
_chemical_formula_sum 'Cr8 Sb4'
_cell_length_a 9.289
_cell_length_b 3.150
_cell_length_c 7.171
_cell_angle_alpha 90.00
_cell_angle_beta 98.19
_cell_angle_gamma 90.00
_symmetry_space_group_name_H-M 'C 1 m 1'
_symmetry_Int_Tables_number 8
_symmetry_space_group_name_Hall 'C -2y'
loop_
_atom_site_label
_atom_site_type_symbol
_atom_site_fract_x
_atom_site_fract_y
_atom_site_fract_z
Cr1 Cr 0.000 0.000 0.000
Cr2 Cr 0.091 0.000 0.615
Cr3 Cr 0.280 0.500 0.494
Cr4 Cr 0.401 0.000 0.717
Sb1 Sb 0.212 0.500 0.894
Sb2 Sb 0.479 0.000 0.328

***

(5)
# CrSb2 (PBE, optimized geometry)
# E_tot	-5.5232	eV per atom
# spin magnetization	7.6	μB/cell
# formation energy without anion corrections	0.433	eV per atom
data_CrSb2
_chemical_formula_sum 'Cr2 Sb4'
_cell_length_a 5.0164
_cell_length_b 5.0164
_cell_length_c 6.3892
_cell_angle_alpha 90.00
_cell_angle_beta 90.00
_cell_angle_gamma 120.00
_symmetry_space_group_name_H-M 'P 63/m m c'
_symmetry_Int_Tables_number 194
_symmetry_space_group_name_Hall '-P 6c 2c'
loop_
_atom_site_label
_atom_site_type_symbol
_atom_site_fract_x
_atom_site_fract_y
_atom_site_fract_z
Cr1 Cr 0.3333 0.6667 0.2500
Sb1 Sb 0.0000 0.0000 0.0000
Sb2 Sb 0.3333 0.6667 0.7500

***

(6)
# CrSb2 (PBE, optimized geometry)
# E_tot	-5.6268	eV per atom
# spin magnetization	3.5	μB/cell
# formation energy without anion corrections	0.329	eV per atom
data_CrSb2
_chemical_formula_sum 'Cr1 Sb2'
_cell_length_a 4.645
_cell_length_b 4.645
_cell_length_c 3.467
_cell_angle_alpha 90.00
_cell_angle_beta 90.00
_cell_angle_gamma 90.00
_symmetry_space_group_name_H-M 'P 4/m m m'
_symmetry_Int_Tables_number 123
_symmetry_space_group_name_Hall '-P 4 2'
loop_
_atom_site_label
_atom_site_type_symbol
_atom_site_fract_x
_atom_site_fract_y
_atom_site_fract_z
Cr1 Cr 0.000 0.000 0.000
Sb1 Sb 0.000 0.500 0.500

***

(7)
# Cr2Sb (PBE, optimized geometry)
# E_tot	-7.1785	eV per atom
# spin magnetization	0.0	μB/cell
# formation energy without anion corrections	0.611	eV per atom
data_Cr2Sb
_chemical_formula_sum 'Cr8 Sb4'
_cell_length_a 5.813
_cell_length_b 5.813
_cell_length_c 5.812
_cell_angle_alpha 90.00
_cell_angle_beta 90.00
_cell_angle_gamma 90.00
_symmetry_space_group_name_H-M 'I 4/m c m'
_symmetry_Int_Tables_number 140
_symmetry_space_group_name_Hall '-I 4 2c'
loop_
_atom_site_label
_atom_site_type_symbol
_atom_site_fract_x
_atom_site_fract_y
_atom_site_fract_z
Cr1 Cr 0.118 0.382 0.000
Sb1 Sb 0.000 0.000 0.250

***

(8)
# Cr3Sb (PBE, optimized geometry)
# E_tot	-7.9153	eV per atom
# spin magnetization	8.0	μB/cell
# formation energy without anion corrections	0.333	eV per atom
data_Cr3Sb
_chemical_formula_sum 'Cr12 Sb4'
_cell_length_a 5.5898
_cell_length_b 5.5898
_cell_length_c 8.6144
_cell_angle_alpha 90.00
_cell_angle_beta 90.00
_cell_angle_gamma 120.00
_symmetry_space_group_name_H-M 'P 63/m m c'
_symmetry_Int_Tables_number 194
_symmetry_space_group_name_Hall '-P 6c 2c'
loop_
_atom_site_label
_atom_site_type_symbol
_atom_site_fract_x
_atom_site_fract_y
_atom_site_fract_z
Cr1 Cr 0.0000 0.5000 0.0000
Cr2 Cr 0.1960 0.3920 0.2500
Sb1 Sb 0.0000 0.0000 0.0000
Sb2 Sb 0.3333 0.6667 0.7500